Entry 1:
VASP calculation (PBE) on a relaxed structure of SbAuI2F.

Calculated values
E above lowest polymorph = 16.6 kJ per mole of atoms
Formation energy from raw total energies = 0.20 eV per atom

Cell lengths 5.577, 5.577, 5.394 Å; angles 90.00, 90.00, 90.00 degrees
Fractional coordinates of all 5 atoms:
Sb: 0.000 0.000 0.000
Au: 0.000 0.000 0.500
I: 0.000 0.500 0.500
I: 0.500 0.000 0.500
F: 0.500 0.500 0.000


Entry 2:
VASP calculation (PBE) on a relaxed structure of RbMg14B.

Calculated values
E above lowest polymorph = 4.4 kJ per mole of atoms

Cell lengths 6.534, 6.534, 10.266 Å; angles 90.00, 90.00, 120.00 degrees
Fractional coordinates of all 16 atoms:
Rb: 0.000 0.000 0.000
Mg: 0.012 0.506 0.000
Mg: 0.159 0.319 0.290
Mg: 0.159 0.319 0.710
Mg: 0.159 0.841 0.290
Mg: 0.159 0.841 0.710
Mg: 0.494 0.506 0.000
Mg: 0.494 0.988 0.000
Mg: 0.512 0.023 0.500
Mg: 0.512 0.488 0.500
Mg: 0.667 0.333 0.243
Mg: 0.667 0.333 0.757
Mg: 0.681 0.841 0.290
Mg: 0.681 0.841 0.710
Mg: 0.977 0.488 0.500
B: 0.000 0.000 0.500


Entry 3:
VASP calculation (PBE) on a relaxed structure of ZrScCdHg.

Calculated values
E above lowest polymorph = 0.0 kJ per mole of atoms

Cell lengths 4.540, 4.540, 8.457 Å; angles 90.00, 90.00, 90.00 degrees
Fractional coordinates of all 8 atoms:
Zr: 0.000 0.000 0.000
Zr: 0.500 0.500 0.500
Sc: 0.000 0.000 0.500
Sc: 0.500 0.500 0.000
Cd: 0.000 0.500 0.750
Cd: 0.500 0.000 0.250
Hg: 0.000 0.500 0.250
Hg: 0.500 0.000 0.750


Entry 4:
VASP calculation (PBE) on a relaxed structure of AgSn.

Calculated values
Calculated total energy = -3.329 eV/atom

Cell lengths 7.189, 6.824, 5.755 Å; angles 69.11, 62.48, 48.41 degrees
Fractional coordinates of all 8 atoms:
Ag: 0.064 0.686 0.686
Ag: 0.314 0.936 0.936
Ag: 0.686 0.064 0.064
Ag: 0.936 0.314 0.314
Sn: 0.176 0.574 0.176
Sn: 0.426 0.824 0.426
Sn: 0.574 0.176 0.574
Sn: 0.824 0.426 0.824


Entry 5:
VASP calculation (PBE) on a relaxed structure of PmPu2Sc.

Calculated values
E above lowest polymorph = 0.7 kJ per mole of atoms

Cell lengths 3.414, 3.414, 33.564 Å; angles 90.00, 90.00, 120.00 degrees
Fractional coordinates of all 12 atoms:
Pm: 0.000 0.000 0.000
Pm: 0.333 0.667 0.667
Pm: 0.667 0.333 0.333
Pu: 0.000 0.000 0.246
Pu: 0.000 0.000 0.421
Pu: 0.333 0.667 0.087
Pu: 0.333 0.667 0.912
Pu: 0.667 0.333 0.579
Pu: 0.667 0.333 0.754
Sc: 0.000 0.000 0.833
Sc: 0.333 0.667 0.500
Sc: 0.667 0.333 0.166


Entry 6:
VASP calculation (PBE) on a relaxed structure of Tb3Er4Zn4.

Calculated values
Calculated total energy = -3.524 eV/atom

Cell lengths 9.088, 9.088, 9.088 Å; angles 147.65, 134.98, 56.52 degrees
Fractional coordinates of all 11 atoms:
Tb: 0.000 0.000 0.000
Tb: 0.397 0.897 0.500
Tb: 0.603 0.103 0.500
Er: 0.053 0.321 0.731
Er: 0.410 0.679 0.731
Er: 0.590 0.321 0.269
Er: 0.947 0.679 0.269
Zn: 0.184 0.184 0.000
Zn: 0.316 0.500 0.816
Zn: 0.684 0.500 0.184
Zn: 0.816 0.816 0.000


Entry 7:
VASP calculation (PBE) on a relaxed structure of CaCe2Cu2Sn2.

Calculated values
Calculated total energy = -4.664 eV/atom

Cell lengths 9.752, 9.752, 9.752 Å; angles 26.81, 26.81, 26.81 degrees
Fractional coordinates of all 7 atoms:
Ca: 0.000 0.000 0.000
Ce: 0.142 0.142 0.142
Ce: 0.858 0.858 0.858
Cu: 0.422 0.422 0.422
Cu: 0.578 0.578 0.578
Sn: 0.262 0.262 0.262
Sn: 0.738 0.738 0.738


Entry 8:
VASP calculation (PBE) on a relaxed structure of BaRhSe2.

Calculated values
E above lowest polymorph = 15.9 kJ per mole of atoms
Formation energy from raw total energies = -0.79 eV per atom

Cell lengths 6.334, 6.334, 12.833 Å; angles 90.00, 90.00, 90.00 degrees
Fractional coordinates of all 16 atoms:
Ba: 0.000 0.000 0.000
Ba: 0.000 0.500 0.250
Ba: 0.500 0.000 0.750
Ba: 0.500 0.500 0.500
Rh: 0.000 0.000 0.500
Rh: 0.000 0.500 0.750
Rh: 0.500 0.000 0.250
Rh: 0.500 0.500 0.000
Se: 0.145 0.250 0.625
Se: 0.250 0.645 0.875
Se: 0.250 0.855 0.375
Se: 0.355 0.250 0.125
Se: 0.645 0.750 0.125
Se: 0.750 0.145 0.375
Se: 0.750 0.355 0.875
Se: 0.855 0.750 0.625